Entry 1:
TmIBr2: relaxed, PBE-GGA.

Structure (extended XYZ):
```
4
Lattice="6.366 -3.870 0.000 6.366 3.870 0.000 -1.119 0.000 3.612" Properties=species:S:1:pos:R:3 pbc="T T T"
Tm 0.000 0.000 0.000
I 5.806 1.531 1.806
Br 1.164 1.015 2.339
Br 10.448 1.015 1.273
```

Output
As for the uncorrected formation energy: -1638 meV per atom. As for the space-group type: C2.

---

Entry 2:
Hf2PaNb: relaxed, PBE-GGA.

Structure (extended XYZ):
```
4
Lattice="4.204 0.000 0.000 0.000 4.204 0.000 0.000 0.000 5.003" Properties=species:S:1:pos:R:3 pbc="T T T"
Hf 0.000 2.102 0.000
Hf 2.102 0.000 0.000
Pa 0.000 0.000 2.501
Nb 2.102 2.102 2.501
```

Output
As for the space-group type: P4/mmm. The value obtained for the formation energy is 211.0 meV/atom.

---

Entry 3:
LaTbPr2Se4: relaxed, PBE-GGA.

Structure (extended XYZ):
```
8
Lattice="7.365 0.000 0.000 0.000 4.189 0.000 -2.387 0.000 6.974" Properties=species:S:1:pos:R:3 pbc="T T T"
La 0.000 0.000 0.000
Tb -1.193 2.095 3.487
Pr 2.489 0.000 3.487
Pr 3.682 2.095 0.000
Se 0.002 0.000 5.151
Se 1.197 2.095 1.790
Se 3.781 2.095 5.184
Se 4.976 0.000 1.822
```

Output
As for the uncorrected formation energy: -1862 meV per atom. As for the space-group type: P2/m.

---

Entry 4:
SiPRu2: relaxed, PBE-GGA.

Structure (extended XYZ):
```
4
Lattice="2.898 0.000 0.000 0.000 3.560 0.000 0.000 0.000 5.162" Properties=species:S:1:pos:R:3 pbc="T T T"
Si 0.000 0.000 0.000
P 1.449 1.780 1.608
Ru 0.000 0.000 2.422
Ru 1.449 1.780 4.360
```

Output
As for the uncorrected formation energy: -419 meV per atom. As for the space-group type: Pmm2.

---

Entry 5:
ThMgF: relaxed, PBE-GGA.

Structure (extended XYZ):
```
6
Lattice="3.339 0.000 0.000 -1.670 2.892 0.000 0.000 0.000 13.469" Properties=species:S:1:pos:R:3 pbc="T T T"
Th 0.000 0.000 2.909
Th 0.000 0.000 10.559
Mg 0.000 1.928 6.734
Mg 1.670 0.964 0.000
F 0.000 0.000 5.568
F 0.000 0.000 7.901
```

Output
As for the uncorrected formation energy: -1326 meV per atom. As for the space-group type: P-6m2.

---

Entry 6:
Nd2YTm3: relaxed, PBE-GGA.

Structure (extended XYZ):
```
12
Lattice="11.639 -1.746 0.000 11.639 1.746 0.000 -3.223 0.000 9.680" Properties=species:S:1:pos:R:3 pbc="T T T"
Nd 1.154 0.000 1.301
Nd 5.185 0.000 6.081
Nd 14.870 0.000 3.599
Nd 18.901 0.000 8.379
Y 4.142 0.000 9.330
Y 15.913 0.000 0.350
Tm -0.818 0.000 7.365
Tm 6.198 0.000 2.765
Tm 8.497 0.000 5.370
Tm 11.558 0.000 4.310
Tm 13.858 0.000 6.915
Tm 20.873 0.000 2.315
```

Output
As for the space-group type: C2/m. The value obtained for the formation energy is 125.0 meV/atom.

---

Entry 7:
PmVGeAu: relaxed, PBE-GGA.

Structure (extended XYZ):
```
4
Lattice="0.000 3.466 3.466 3.466 0.000 3.466 3.466 3.466 0.000" Properties=species:S:1:pos:R:3 pbc="T T T"
Pm 0.000 0.000 0.000
V 3.466 3.466 3.466
Ge 5.199 5.199 5.199
Au 1.733 1.733 1.733
```

Output
As for the space-group type: F-43m. The value obtained for the formation energy is -269.6 meV/atom.

---

Entry 8:
Li2TaP: relaxed, PBE-GGA.

Structure (extended XYZ):
```
4
Lattice="2.852 0.000 0.000 0.000 4.392 0.000 -1.219 0.000 4.694" Properties=species:S:1:pos:R:3 pbc="T T T"
Li 0.063 0.000 1.266
Li 1.570 0.000 3.428
Ta 1.426 2.196 0.000
P -0.609 2.196 2.347
```

Output
As for the space-group type: P2/m. The value obtained for the formation energy is -83.2 meV/atom.

---

Entry 9:
Cu2BrF2: relaxed, PBE-GGA.

Structure (extended XYZ):
```
5
Lattice="-1.828 1.828 5.245 1.828 -1.828 5.245 1.828 1.828 -5.245" Properties=species:S:1:pos:R:3 pbc="T T T"
Cu 0.000 0.000 1.499
Cu 0.000 0.000 8.991
Br 0.000 0.000 5.245
F 1.828 0.000 2.622
F 0.000 1.828 2.622
```

Output
As for the uncorrected formation energy: -756 meV per atom. As for the space-group type: I4/mmm.

---

Entry 10:
ZrPaTi: relaxed, PBE-GGA.

Structure (extended XYZ):
```
3
Lattice="4.892 0.000 0.000 -2.446 4.237 0.000 0.000 0.000 3.109" Properties=species:S:1:pos:R:3 pbc="T T T"
Zr 0.000 0.000 0.000
Pa 2.446 1.412 2.025
Ti 0.000 2.824 0.937
```

Output
As for the space-group type: P3m1. The value obtained for the formation energy is 121.1 meV/atom.

---

Entry 11:
Mg2TaAs: relaxed, PBE-GGA.

Structure (extended XYZ):
```
4
Lattice="1.534 0.886 9.417 -1.534 0.886 9.417 0.000 -1.771 9.417" Properties=species:S:1:pos:R:3 pbc="T T T"
Mg 0.000 0.000 6.979
Mg 0.000 0.000 21.272
Ta 0.000 0.000 0.000
As 0.000 0.000 14.125
```

Output
As for the space-group type: R-3m. The value obtained for the formation energy is 104.8 meV/atom.

---

Entry 12:
YHo4Er: relaxed, PBE-GGA.

Structure (extended XYZ):
```
6
Lattice="0.000 4.613 4.613 4.613 0.000 4.613 4.613 4.613 0.000" Properties=species:S:1:pos:R:3 pbc="T T T"
Y 0.000 0.000 0.000
Ho 3.460 3.460 3.460
Ho 5.766 5.766 3.460
Ho 5.766 3.460 5.766
Ho 3.460 5.766 5.766
Er 6.919 6.919 6.919
```

Output
As for the space-group type: F-43m. The value obtained for the formation energy is 249.5 meV/atom.

---

Entry 13:
Li2MgPSe4: relaxed, PBE-GGA.

Structure (extended XYZ):
```
8
Lattice="4.221 -5.569 0.000 4.221 5.569 0.000 -4.220 0.000 4.222" Properties=species:S:1:pos:R:3 pbc="T T T"
Li 0.000 0.000 0.000
Li 2.111 -2.786 2.111
Mg 4.221 -0.006 0.000
P 2.111 2.782 2.111
Se 2.085 1.459 0.138
Se -0.140 -1.462 2.082
Se 2.137 1.459 4.084
Se 4.363 -1.462 2.141
```

Output
As for the uncorrected formation energy: -711 meV per atom. As for the space-group type: C2.